First-principles (PBE-GGA) data for an optimized crystal structure of NpPaMnGe, as listed in Alexandria via LeMat-Bulk.

Results
Total moment ... 1.05 μB/atom
Space group ... F-43m, No. 216
Calculated volume ... 18.918 A^3/atom
Formation energy from the elements ... 97 meV/atom
ρ ... 13.07 Mg/m³

Cell: 4.748 4.748 4.748 Å, 60.00 60.00 60.00°
Atoms (fractional coordinates):
1 Np 0.250 0.250 0.250
2 Ge 0.500 0.500 0.500
3 Pa 0.000 0.000 0.000
4 Mn 0.750 0.750 0.750